## Si2PPt (PBE)

Data for a geometry-optimized Si2PPt structure.

The energy is -0.3876 Ry per atom. The raw formation energy comes out at 0.301 eV per atom.

It has space group P4/mmm (No. 123), with a = 4.249 Å, b = 4.249 Å, c = 3.341 Å, α = 90.00°, β = 90.00° and γ = 90.00°. The inequivalent atoms are Si at (0.000, 0.500, 0.000), P at (0.000, 0.000, 0.500) and Pt at (0.500, 0.500, 0.500).